No. 1
## Be3PbS (GGA-PBE)

Data for a relaxed Be3PbS crystal.

Lattice parameters (Å, degrees): 4.628 4.628 4.628 90.00 90.00 90.00
Positions (direct):
Be 0.000 0.500 0.000
S 0.500 0.500 0.500
Pb 0.000 0.000 0.000
Be 0.000 0.000 0.500
Be 0.500 0.000 0.000

Summary:
Energy above the most stable polymorph in this dataset ... 0.521 eV per atom
M_tot ... 0.000 μB per atom

***

No. 2
## NdGdInGa (GGA-PBE)

Data for a relaxed NdGdInGa crystal.

Lattice parameters (Å, degrees): 5.306 5.306 5.306 60.00 60.00 60.00
Last column: magnetic moment on the atom in μB.
Positions (direct):
Gd 0.000 0.000 0.000  7.06
Nd 0.500 0.500 0.500  0.02
In 0.750 0.750 0.750  -0.03
Ga 0.250 0.250 0.250  -0.03

Summary:
Energy of formation ... -0.502 eV per atom
M_tot ... 1.782 μB per atom

***

No. 3
## HoScMn2 (GGA-PBE)

Data for a relaxed HoScMn2 crystal.

Lattice parameters (Å, degrees): 4.894 4.755 4.757 61.97 59.04 59.02
Last column: magnetic moment on the atom in μB.
Positions (direct):
Sc 0.750 0.750 0.750  -0.38
Mn 0.001 0.999 0.999  3.16
Mn 0.499 0.501 0.501  3.16
Ho 0.250 0.250 0.250  -0.28

Summary:
Energy of formation ... 0.172 eV per atom
M_tot ... 1.419 μB per atom

***

No. 4
## BaIrRhPb2 (GGA-PBE)

Data for a relaxed BaIrRhPb2 crystal.

Lattice parameters (Å, degrees): 5.184 5.865 5.184 90.00 90.00 90.00
Positions (direct):
Pb 0.000 0.000 0.500
Rh 0.500 0.500 0.500
Ba 0.000 0.500 0.000
Pb 0.500 0.000 0.000
Ir 0.000 0.000 0.000

Summary:
Energy of formation ... 0.465 eV per atom
M_tot ... 0.000 μB per atom

***

No. 5
## NaScHgGe (GGA-PBE)

Data for a relaxed NaScHgGe crystal.

Lattice parameters (Å, degrees): 4.932 4.932 4.932 60.00 60.00 60.00
Positions (direct):
Sc 0.750 0.750 0.750
Na 0.250 0.250 0.250
Ge 0.500 0.500 0.500
Hg 0.000 0.000 0.000

Summary:
Energy of formation ... -0.296 eV per atom
M_tot ... 0.000 μB per atom

***

No. 6
## Nd2Dy2Ho (GGA-PBE)

Data for a relaxed Nd2Dy2Ho crystal.

Lattice parameters (Å, degrees): 5.733 3.649 16.282 96.43 100.14 90.00
Positions (direct):
Nd 0.628 0.878 0.257
Nd 0.272 0.022 0.545
Ho 0.831 0.581 0.662
Ho 0.169 0.419 0.338
Nd 0.728 0.978 0.455
Dy 0.946 0.196 0.892
Dy 0.054 0.804 0.108
Dy 0.459 0.709 0.918
Dy 0.541 0.291 0.082
Nd 0.372 0.122 0.743

Summary:
Energy above the most stable polymorph in this dataset ... 0.113 eV per atom
Energy of formation ... 0.134 eV per atom
M_tot ... 0.000 μB per atom

***

No. 7
## Ba3Ga2Ag4 (GGA-PBE)

Data for a relaxed Ba3Ga2Ag4 crystal.

Lattice parameters (Å, degrees): 4.807 6.629 9.407 102.45 90.00 111.26
Positions (direct):
Ag 0.063 0.127 0.387
Ag 0.716 0.432 0.063
Ga 0.612 0.224 0.287
Ba 0.664 0.328 0.670
Ga 0.388 0.776 0.713
Ba 0.000 0.000 0.000
Ba 0.336 0.672 0.330
Ag 0.284 0.568 0.937
Ag 0.937 0.873 0.613

Summary:
Energy of formation ... -0.294 eV per atom
M_tot ... 0.000 μB per atom

***

No. 8
## TmPu3Th4S8 (GGA-PBE)

Data for a relaxed TmPu3Th4S8 crystal.

Lattice parameters (Å, degrees): 7.874 8.041 7.874 119.31 120.00 90.00
Last column: magnetic moment on the atom in μB.
Positions (direct):
S 0.749 0.735 0.992  -0.04
Th 0.000 0.000 0.500  -0.06
S 0.243 0.735 0.992  -0.04
Th 0.500 0.000 0.500  -0.06
S 0.757 0.265 0.514  -0.04
Th 0.000 0.000 0.000  -0.06
S 0.746 0.737 0.491  -0.06
Tm 0.000 0.500 0.000  0.04
S 0.757 0.265 0.008  -0.04
Pu 0.500 0.500 0.000  5.22
Pu 0.500 0.500 0.500  5.22
Pu 0.000 0.500 0.500  5.22
S 0.251 0.265 0.008  -0.04
Th 0.500 0.000 0.000  -0.03
S 0.254 0.263 0.509  -0.06
S 0.243 0.735 0.486  -0.04

Summary:
DFT total energy ... -8.725 eV/atom
M_tot ... 0.991 μB per atom